A geometry-optimized Li2PmP2Pd2 structure. Source: Alexandria via LeMat-Bulk, functional PBE.

Values from the calculation:
Size of the total moment, μB per atom: 0.000
Formation energy, eV/atom: -0.962

```
data_Li2PmP2Pd2
_space_group_name_H-M_alt 'R -3 m'
_space_group_IT_number 166
_space_group_name_Hall '-R 3 2"'
_cell_length_a 4.1492
_cell_length_b 4.1492
_cell_length_c 23.0955
_cell_angle_alpha 90.00
_cell_angle_beta 90.00
_cell_angle_gamma 120.00
loop_
_atom_site_label
_atom_site_fract_x
_atom_site_fract_y
_atom_site_fract_z
Li1 0.0000 0.0000 0.1422
Pm1 0.0000 0.0000 0.0000
P1 0.0000 0.0000 0.2520
Pd1 0.0000 0.0000 0.4266
```

=====

A geometry-optimized Na2CeTeO6 structure. Source: Alexandria via LeMat-Bulk, functional PBE.

Values from the calculation:
Size of the total moment, μB per atom: 0.000
Formation energy from raw total energies, kJ per mole of atoms: -184.7

```
data_Na2CeTeO6
_space_group_name_H-M_alt 'P 4 m m'
_space_group_IT_number 99
_space_group_name_Hall 'P 4 -2'
_cell_length_a 5.887
_cell_length_b 5.887
_cell_length_c 4.244
_cell_angle_alpha 90.00
_cell_angle_beta 90.00
_cell_angle_gamma 90.00
loop_
_atom_site_label
_atom_site_fract_x
_atom_site_fract_y
_atom_site_fract_z
Na1 0.000 0.500 0.000
Ce1 0.000 0.000 0.588
Te1 0.500 0.500 0.575
O1 0.000 0.000 0.096
O2 0.271 0.271 0.631
O3 0.500 0.500 0.127
```

=====

A geometry-optimized ScMnTl structure. Source: Alexandria via LeMat-Bulk, functional PBE.

Values from the calculation:
Size of the total moment, μB per atom: 1.355
Formation energy, eV/atom: 0.609

```
data_ScMnTl
_space_group_name_H-M_alt 'F -4 3 m'
_space_group_IT_number 216
_space_group_name_Hall 'F -4 2 3'
_cell_length_a 6.699
_cell_length_b 6.699
_cell_length_c 6.699
_cell_angle_alpha 90.00
_cell_angle_beta 90.00
_cell_angle_gamma 90.00
loop_
_atom_site_label
_atom_site_fract_x
_atom_site_fract_y
_atom_site_fract_z
Sc1 0.000 0.000 0.000
Mn1 0.250 0.250 0.750
Tl1 0.250 0.250 0.250
```

=====

What VASP energy values result from the calculations? In sequence: -109.5; -60.6; -64.2 eV per cell.